! Pr2Y2Al3 | Alexandria | PBE | relaxed; values from VASP
! **Size of the total moment**: 0.00 Bohr magnetons per cell
! **SG**: Cmmm, No. 65
! **Formation energy**: -0.2989 eV per atom
&SYSTEM
  ibrav = 0, nat = 7, ntyp = 3
/
ATOMIC_SPECIES
Pr 140.91 Pr.upf
Y 88.91 Y.upf
Al 26.98 Al.upf
ATOMIC_POSITIONS angstrom
Pr 4.389 5.009 7.238
Pr 2.451 2.501 4.958
Y 7.165 5.892 9.553
Y -0.325 1.619 2.643
Al -0.628 3.245 5.305
Al 0.000 0.000 0.000
Al 7.468 4.265 6.891
CELL_PARAMETERS angstrom
-1.285 3.377 0.255
-2.030 -0.985 2.809
10.155 5.119 9.132


! Pr2Y3Al3 | Alexandria | PBE | relaxed; values from VASP
! **Size of the total moment**: 0.00 Bohr magnetons per cell
! **SG**: Immm, No. 71
! **Formation energy**: -0.2806 eV per atom
&SYSTEM
  ibrav = 0, nat = 8, ntyp = 3
/
ATOMIC_SPECIES
Pr 140.91 Pr.upf
Y 88.91 Y.upf
Al 26.98 Al.upf
ATOMIC_POSITIONS angstrom
Pr 4.052 -4.274 -2.907
Pr 3.841 -3.766 0.381
Y 7.323 -4.140 -1.435
Y 0.570 -3.901 -1.090
Y -0.500 -1.312 1.232
Al 5.760 -6.835 -2.108
Al -1.131 -1.345 -1.891
Al 2.133 -1.206 -0.418
CELL_PARAMETERS angstrom
-1.000 -2.624 2.464
-2.261 -2.689 -3.782
11.155 -2.727 -1.208


! PrY3Al | Alexandria | PBE | relaxed; values from VASP
! **Size of the total moment**: 0.00 Bohr magnetons per cell
! **SG**: P-1, No. 2
! **Formation energy**: -0.1507 eV per atom
&SYSTEM
  ibrav = 0, nat = 10, ntyp = 3
/
ATOMIC_SPECIES
Pr 140.91 Pr.upf
Y 88.91 Y.upf
Al 26.98 Al.upf
ATOMIC_POSITIONS angstrom
Pr 2.873 0.426 7.993
Pr -0.026 1.338 2.475
Y 1.845 7.748 2.433
Y 0.624 2.480 5.984
Y 1.347 3.411 -0.262
Y 0.516 6.051 5.389
Y 1.192 6.933 -1.093
Y 1.954 4.177 3.028
Al -0.229 5.650 1.367
Al 2.698 4.578 7.050
CELL_PARAMETERS angstrom
3.629 0.000 -0.671
-0.378 8.464 -2.051
-0.069 -0.116 9.772


! Pr2Y8Al | Alexandria | PBE | relaxed; values from VASP
! **Size of the total moment**: 0.00 Bohr magnetons per cell
! **Distance to the lowest polymorph of the same formula**: 0.000 eV per atom
! **SG**: C2/m, No. 12
! **Formation energy**: -0.0389 eV per atom
&SYSTEM
  ibrav = 0, nat = 11, ntyp = 3
/
ATOMIC_SPECIES
Pr 140.91 Pr.upf
Y 88.91 Y.upf
Al 26.98 Al.upf
ATOMIC_POSITIONS angstrom
Pr 3.088 2.505 5.711
Pr 2.303 3.722 2.511
Y 2.914 6.861 3.966
Y -0.221 1.698 3.767
Y 0.412 5.015 5.298
Y 3.854 5.959 7.358
Y 4.979 1.213 2.924
Y 5.612 4.530 4.455
Y 2.477 -0.633 4.256
Y 1.537 0.268 0.864
Al -1.173 -0.863 2.354
CELL_PARAMETERS angstrom
-2.345 -1.726 4.709
5.831 -1.885 2.213
1.905 9.839 1.300